one:
Compound: BeVPO2
Source: Alexandria
Functional: PBE+U
Structure: relaxed

Magnetic moment, μB/f.u.: 0.00
Calculated volume, A^3/atom: 13.28
Crystal system: tetragonal
ρ, kg/m3: 3074

Cell lengths 3.605, 3.605, 5.111 Å; angles 90.00, 90.00, 90.00 degrees
Space group P4/mmm (No. 123)
One atom of each set of equivalent atoms:
Be 0.000 0.000 0.000
V 0.500 0.500 0.500
P 0.500 0.500 0.000
O 0.000 0.500 0.500

---

two:
Compound: BeVPO2
Source: Alexandria
Functional: PBE+U
Structure: relaxed

Magnetic moment, μB/f.u.: 0.00
Calculated volume, A^3/atom: 11.65
Crystal system: tetragonal
ρ, kg/m3: 3504

Cell lengths 3.307, 3.307, 5.327 Å; angles 90.00, 90.00, 90.00 degrees
Space group P4/mmm (No. 123)
One atom of each set of equivalent atoms:
Be 0.000 0.000 0.000
V 0.500 0.500 0.500
P 0.000 0.000 0.500
O 0.000 0.500 0.000

---

Energy ordering: one at the bottom, the next structure 445 meV per atom above.

---

one:
Compound: BeP2WO
Source: Alexandria
Functional: PBE+U
Structure: relaxed

Magnetic moment, μB/f.u.: 1.13
Calculated volume, A^3/atom: 13.54
Crystal system: tetragonal
ρ, kg/m3: 6644

Cell lengths 4.857, 4.857, 2.869 Å; angles 90.00, 90.00, 90.00 degrees
Space group P4/mmm (No. 123)
One atom of each set of equivalent atoms:
Be 0.000 0.000 0.000
P 0.000 0.500 0.000
W 0.500 0.500 0.500
O 0.000 0.000 0.500

---

two:
Compound: BeP2WO
Source: Alexandria
Functional: PBE+U
Structure: relaxed

Magnetic moment, μB/f.u.: 0.27
Calculated volume, A^3/atom: 17.77
Crystal system: tetragonal
ρ, kg/m3: 5060

Cell lengths 4.843, 4.843, 3.789 Å; angles 90.00, 90.00, 90.00 degrees
Space group P4/mmm (No. 123)
One atom of each set of equivalent atoms:
Be 0.000 0.000 0.000
P 0.000 0.500 0.500
W 0.500 0.500 0.500
O 0.500 0.500 0.000

---

Energy ordering: one at the bottom, the next structure 195 meV per atom above.

---

one:
Compound: BePWO2
Source: Alexandria
Functional: PBE+U
Structure: relaxed

Magnetic moment, μB/f.u.: 0.99
Calculated volume, A^3/atom: 11.32
Crystal system: tetragonal
ρ, kg/m3: 7503

Cell lengths 3.563, 3.563, 4.459 Å; angles 90.00, 90.00, 90.00 degrees
Space group P4/mmm (No. 123)
One atom of each set of equivalent atoms:
Be 0.000 0.000 0.000
P 0.000 0.000 0.500
W 0.500 0.500 0.500
O 0.000 0.500 0.000

---

two:
Compound: BePWO2
Source: Alexandria
Functional: PBE+U
Structure: relaxed

Magnetic moment, μB/f.u.: 0.83
Calculated volume, A^3/atom: 15.27
Crystal system: tetragonal
ρ, kg/m3: 5564

Cell lengths 3.798, 3.798, 5.294 Å; angles 90.00, 90.00, 90.00 degrees
Space group P4/mmm (No. 123)
One atom of each set of equivalent atoms:
Be 0.000 0.000 0.000
P 0.500 0.500 0.000
W 0.500 0.500 0.500
O 0.000 0.500 0.500

---

Energy ordering: two at the bottom, the next structure 486 meV per atom above.